The following is a PBE-GGA calculation of a geometry-optimized Nd2Ho3Sc structure, from Alexandria.

a = 4.984 Å, b = 10.057 Å, c = 9.349 Å
α = 122.54°, β = 105.46°, γ = 90.00°
Positions (direct):
Ho  0.500  0.750  0.000
Ho  0.164  0.914  0.329
Ho  0.836  0.086  0.671
Ho  0.500  0.250  0.000
Ho  0.164  0.414  0.329
Ho  0.836  0.586  0.671
Nd  0.338  0.838  0.676
Nd  0.662  0.662  0.324
Nd  0.662  0.162  0.324
Nd  0.338  0.338  0.676
Sc  0.000  0.500  0.000
Sc  0.000  0.000  0.000

Properties
relative energy among the computed polymorphs: 0 meV/atom
density: 7.34 g cm⁻³
total magnetization: 0.0000 μB per atom
symmetry: Cmmm (65)
energy: -58.73 eV per cell
calculated formation energy: 23 kJ/mol of formula units